# ZrAl2Br

A relaxed ZrAl2Br crystal (GGA-PBE, Alexandria).

Summary:
**Final energy**: -4.508 eV per atom
**Space-group type**: P2/m
**Calculated density**: 4.604 g/cm³
**Uncorrected formation energy**: -0.081 eV per atom
**Relative energy among the computed polymorphs**: 190 meV per atom
**Total magnetic moment**: 0.0 μB/cell

Lattice parameters (Å, degrees): 5.261 3.129 5.281 90.00 110.97 90.00
Fractional positions:
Zr (0.000, 0.000, 0.000)
Al (0.000, 0.500, 0.500)
Al (0.500, 0.500, 0.000)
Br (0.500, 0.000, 0.500)

# ZrAlBr

A relaxed ZrAlBr crystal (GGA-PBE, Alexandria).

Summary:
**Final energy**: -4.766 eV per atom
**Space-group type**: P-6m2
**Calculated density**: 5.147 g/cm³
**Uncorrected formation energy**: -0.111 eV per atom
**Total magnetic moment**: 0.0 μB/cell

Lattice parameters (Å, degrees): 4.770 4.770 3.244 90.00 90.00 120.00
Fractional positions:
Zr (0.000, 0.000, 0.000)
Al (0.667, 0.333, 0.500)
Br (0.333, 0.667, 0.000)

# ZrAl2Br

A relaxed ZrAl2Br crystal (GGA-PBE, Alexandria).

Summary:
**Final energy**: -4.507 eV per atom
**Space-group type**: C2/m
**Calculated density**: 4.604 g/cm³
**Uncorrected formation energy**: -0.081 eV per atom
**Relative energy among the computed polymorphs**: 191 meV per atom
**Total magnetic moment**: 0.0 μB/cell

Lattice parameters (Å, degrees): 11.039 3.175 4.665 90.00 96.76 90.00
Fractional positions:
Zr (0.000, 0.000, 0.000)
Zr (0.500, 0.500, 0.000)
Al (0.237, 0.500, 0.234)
Al (0.263, 0.000, 0.766)
Al (0.737, 0.000, 0.234)
Al (0.763, 0.500, 0.766)
Br (0.000, 0.500, 0.500)
Br (0.500, 0.000, 0.500)

# ZrAl2Br

A relaxed ZrAl2Br crystal (GGA-PBE, Alexandria).

Summary:
**Final energy**: -4.173 eV per atom
**Space-group type**: I-42d
**Calculated density**: 4.306 g/cm³
**Uncorrected formation energy**: 0.253 eV per atom
**Relative energy among the computed polymorphs**: 525 meV per atom
**Total magnetic moment**: 0.0 μB/cell

Lattice parameters (Å, degrees): 7.839 7.839 5.649 90.00 90.00 90.00
Fractional positions:
Zr (0.000, 0.000, 0.000)
Zr (0.000, 0.500, 0.250)
Zr (0.500, 0.000, 0.750)
Zr (0.500, 0.500, 0.500)
Al (0.249, 0.250, 0.625)
Al (0.250, 0.749, 0.875)
Al (0.250, 0.751, 0.375)
Al (0.251, 0.250, 0.125)
Al (0.749, 0.750, 0.125)
Al (0.750, 0.249, 0.375)
Al (0.750, 0.251, 0.875)
Al (0.751, 0.750, 0.625)
Br (0.000, 0.000, 0.500)
Br (0.000, 0.500, 0.750)
Br (0.500, 0.000, 0.250)
Br (0.500, 0.500, 0.000)

# ZrAl4Br

A relaxed ZrAl4Br crystal (GGA-PBE, Alexandria).

Summary:
**Final energy**: -4.288 eV per atom
**Space-group type**: F-43m
**Calculated density**: 4.082 g/cm³
**Uncorrected formation energy**: -0.090 eV per atom
**Total magnetic moment**: 0.0 μB/cell

Lattice parameters (Å, degrees): 5.435 5.435 5.435 60.00 60.00 60.00
Fractional positions:
Zr (0.000, 0.000, 0.000)
Al (0.121, 0.626, 0.626)
Al (0.626, 0.121, 0.626)
Al (0.626, 0.626, 0.121)
Al (0.626, 0.626, 0.626)
Br (0.250, 0.250, 0.250)

# ZrAl2Br

A relaxed ZrAl2Br crystal (GGA-PBE, Alexandria).

Summary:
**Final energy**: -4.562 eV per atom
**Space-group type**: Cm
**Calculated density**: 4.590 g/cm³
**Uncorrected formation energy**: -0.135 eV per atom
**Relative energy among the computed polymorphs**: 137 meV per atom
**Total magnetic moment**: 0.0 μB/cell

Lattice parameters (Å, degrees): 9.857 3.220 5.534 90.00 111.97 90.00
Fractional positions:
Zr (0.000, 0.000, 0.000)
Zr (0.500, 0.500, 0.000)
Al (0.232, 0.500, 0.362)
Al (0.471, 0.000, 0.487)
Al (0.732, 0.000, 0.362)
Al (0.971, 0.500, 0.487)
Br (0.250, 0.000, 0.857)
Br (0.750, 0.500, 0.857)

Which of these has the highest calculated density?
ZrAlBr

Which of these has the highest uncorrected formation energy?
number 4

What is the uncorrected formation energy in the fifth record?
-0.090 eV per atom